Computed, not measured: a geometry-optimized ZnTeSN2 structure at the PBE level of DFT.

Properties
- calculated density (g cm⁻³) = 4.2
- uncorrected formation energy (eV/f.u.) = 7.46
- energy above the lowest structure with this stoichiometry (eV per formula unit) = 1.25
- Fermi-level density of states (states/eV per cell) = 2.48

Cell and atoms, written as extended XYZ:
```
5
Lattice="3.8853 0.0000 0.0000 0.0000 3.8853 0.0000 0.0000 0.0000 6.6522" Properties=species:S:1:pos:R:3 pbc="T T T"
Zn 0.0000 0.0000 0.0000
Te 0.0000 0.0000 3.3261
S 1.9426 1.9426 3.3261
N 0.0000 1.9426 0.0000
N 1.9426 0.0000 0.0000
```